Entry 1:
Mg4SbTe | PBE | optimized geometry

Geometry as extended XYZ:
```
6
Lattice="0.000 4.185 4.185 4.185 0.000 4.185 4.185 4.185 0.000" Properties=species:S:1:pos:R:3 pbc="T T T"
Mg 3.138 5.231 5.231
Mg 5.231 5.231 3.138
Mg 5.231 3.138 5.231
Mg 3.138 3.138 3.138
Sb 6.277 6.277 6.277
Te 0.000 0.000 0.000
```

Results
Symmetry: F-43m
Formation energy from raw total energies: -0.22 eV/f.u.
Magnetization: 0.000 μB/atom

---

Entry 2:
MgSbTe | PBE | optimized geometry

Geometry as extended XYZ:
```
3
Lattice="-2.119 -0.180 2.695 -1.029 -1.137 -3.072 3.020 -7.752 1.858" Properties=species:S:1:pos:R:3 pbc="T T T"
Mg 3.012 -7.729 1.852
Sb -0.588 -2.882 -0.655
Te 0.469 -6.209 2.141
```

Results
Symmetry: P3m1
Formation energy from raw total energies: -0.46 eV/f.u.
Magnetization: 0.000 μB/atom

---

Entry 3:
MgSb4Te | PBE | optimized geometry

Geometry as extended XYZ:
```
6
Lattice="1.755 -5.933 -1.001 0.726 -3.913 4.842 -4.084 -4.669 0.895" Properties=species:S:1:pos:R:3 pbc="T T T"
Mg 0.000 0.000 0.000
Sb 0.274 -8.408 1.277
Sb -2.641 -7.777 2.224
Sb -0.239 -7.399 4.194
Sb -0.602 -5.446 1.777
Te -1.203 -10.887 3.552
```

Results
Symmetry: F-43m
Formation energy from raw total energies: 1.59 eV/f.u.
Magnetization: 0.000 μB/atom

---

Entry 4:
MgSb4Te7 | PBE | optimized geometry

Geometry as extended XYZ:
```
12
Lattice="-4.253 0.181 -0.800 2.352 -3.302 -1.524 -4.385 -12.573 20.464" Properties=species:S:1:pos:R:3 pbc="T T T"
Mg -2.193 -6.286 10.232
Sb -2.408 -2.003 0.623
Sb -3.878 -13.691 17.515
Sb -3.581 -5.366 6.097
Sb -2.705 -10.328 12.042
Te 0.000 0.000 0.000
Te -4.539 -8.115 10.571
Te -1.746 -7.579 7.568
Te -5.773 -11.650 16.326
Te -0.513 -4.043 1.813
Te -1.228 -3.522 5.732
Te -3.157 -9.051 14.732
```

Results
Symmetry: P-3m1
Formation energy from raw total energies: -2.89 eV/f.u.
Magnetization: 0.000 μB/atom

---

Entry 5:
MgTiSb2Te | PBE | optimized geometry

Geometry as extended XYZ:
```
5
Lattice="5.311 0.000 0.000 0.000 5.311 0.000 0.000 0.000 5.303" Properties=species:S:1:pos:R:3 pbc="T T T"
Sb 0.000 2.656 0.000
Sb 2.656 0.000 0.000
Mg 2.656 2.656 2.651
Te 0.000 0.000 2.651
Ti 0.000 0.000 0.000
```

Results
Symmetry: P4/mmm
Formation energy from raw total energies: 0.40 eV/f.u.
Magnetization: 0.000 μB/atom

---

Entry 6:
MgTiSb2Te | PBE | optimized geometry

Geometry as extended XYZ:
```
5
Lattice="5.268 0.000 0.000 0.000 5.268 0.000 0.000 0.000 5.510" Properties=species:S:1:pos:R:3 pbc="T T T"
Sb 0.000 2.634 0.000
Sb 2.634 0.000 0.000
Mg 0.000 0.000 0.000
Te 0.000 0.000 2.755
Ti 2.634 2.634 2.755
```

Results
Symmetry: P4/mmm
Formation energy from raw total energies: 3.48 eV/f.u.
Magnetization: 0.439 μB/atom